Computed, not measured: crystalline Li3Cd3Sn at its relaxed geometry at the PBE level of DFT.

density	5.7	Mg/m³
energy above the lowest structure with this stoichiometry	0.0	meV/atom
total magnetization	0.0	μB/f.u.
uncorrected energy	-14.4	eV/f.u.

Structure (CIF):
```
data_Li3Cd3Sn
_cell_length_a 8.1029
_cell_length_b 8.1029
_cell_length_c 4.8750
_cell_angle_alpha 90.00
_cell_angle_beta 90.00
_cell_angle_gamma 120.00
_space_group_name_H-M_alt 'P 63/m'
_space_group_IT_number 176
_space_group_name_Hall '-P 6c'
loop_
_atom_site_label
_atom_site_type_symbol
_atom_site_fract_x
_atom_site_fract_y
_atom_site_fract_z
Li1 Li 0.1036 0.6250 0.2500
Cd1 Cd 0.0565 0.8074 0.7500
Sn1 Sn 0.3333 0.6667 0.7500
```